Entry 1:
Crystalline Mo5W at its relaxed geometry. Source: Alexandria via LeMat-Bulk, functional PBE.

Output
Energy of formation from the pure elements = -0.02 eV/atom
Calculated volume = 190.6 Å³ per cell
Symmetry = No. 12
E above lowest polymorph = 0.003 eV/atom

a b c (Å): 5.2547 5.4519 8.2439
angles (deg): 109.26 80.15 121.26
Closest atoms and distances in Å follow each position.
Atoms (fractional coordinates):
1 Mo 0.7500 0.5000 0.2500  2 W 2.73, 6 Mo 2.75
2 Mo 0.2500 0.5000 0.7500  2 W 2.73, 6 Mo 2.75
3 Mo 0.7501 0.5008 0.9167  7 Mo 2.72-2.75, 1 W 2.75
4 Mo 0.2501 0.5009 0.4168  7 Mo 2.72-2.75, 1 W 2.75
5 Mo 0.2499 0.4992 0.0833  7 Mo 2.72-2.75, 1 W 2.75
6 Mo 0.7499 0.4991 0.5832  7 Mo 2.72-2.75, 1 W 2.75
7 Mo 0.7499 0.0001 0.9166  6 Mo 2.72-2.75, 2 W 2.75
8 Mo 0.2499 0.0002 0.4167  6 Mo 2.72-2.75, 2 W 2.75
9 Mo 0.2501 0.9999 0.0834  6 Mo 2.72-2.75, 2 W 2.75
10 Mo 0.7501 0.9998 0.5833  6 Mo 2.72-2.75, 2 W 2.75
11 W 0.7500 0.0000 0.2500  8 Mo 2.73-2.75
12 W 0.2500 0.0000 0.7500  8 Mo 2.73-2.75

---

Entry 2:
Crystalline ZnBr at its relaxed geometry. Source: Alexandria via LeMat-Bulk, functional PBE.

Output
Calculated volume = 108.9 Å³ per cell
Symmetry = No. 166
E_form (uncorrected) = 1.36 kJ per mole of atoms

a b c (Å): 6.9529 6.9529 6.9529
angles (deg): 36.97 36.97 36.97
Closest atoms and distances in Å follow each position.
Atoms (fractional coordinates):
1 Br 0.0920 0.0920 0.0920  6 Zn 3.11
2 Br 0.9080 0.9080 0.9080  6 Zn 3.11
3 Zn 0.3334 0.3334 0.3334  3 Zn 2.55
4 Zn 0.6666 0.6666 0.6666  3 Zn 2.55

---

Question: Which of these has the highest calculated volume?
Answer: Mo5W